1.
DFT (PBE) results for crystalline Na5B2As5 at its relaxed geometry.

- ΔH_f (0 K) (eV per atom) = -0.108

Unit cell a=3.335 b=7.621 c=10.672 alpha=111.95 beta=90.00 gamma=102.64
Fractional positions:
Na: 0.328 0.656 0.931
Na: 0.778 0.557 0.385
Na: 0.672 0.344 0.069
Na: 0.222 0.443 0.615
Na: 0.500 0.000 0.500
As: 0.908 0.817 0.698
As: 0.638 0.277 0.781
As: 0.000 0.000 0.000
As: 0.092 0.183 0.302
As: 0.362 0.723 0.219
B: 0.945 0.890 0.234
B: 0.055 0.110 0.766

=====

2.
DFT (PBE) results for crystalline Dy5Tl4Pt at its relaxed geometry.

- ΔH_f (0 K) (eV per atom) = -0.536

Unit cell a=3.575 b=3.575 c=20.427 alpha=90.00 beta=90.00 gamma=90.00
Fractional positions:
Dy: 0.500 0.500 0.918
Dy: 0.500 0.500 0.291
Dy: 0.500 0.500 0.082
Dy: 0.500 0.500 0.709
Dy: 0.500 0.500 0.500
Tl: 0.000 0.000 0.811
Tl: 0.000 0.000 0.189
Tl: 0.000 0.000 0.396
Tl: 0.000 0.000 0.604
Pt: 0.000 0.000 0.000

=====

3.
DFT (PBE) results for crystalline AgPb4Au3 at its relaxed geometry.

- ΔH_f (0 K) (eV per atom) = -0.049

Unit cell a=4.035 b=4.422 c=11.150 alpha=90.00 beta=90.00 gamma=90.00
Fractional positions:
Pb: 0.500 0.000 0.645
Pb: 0.000 0.500 0.855
Pb: 0.500 0.500 0.356
Pb: 0.000 0.000 0.144
Au: 0.000 0.500 0.585
Au: 0.000 0.000 0.415
Au: 0.500 0.000 0.917
Ag: 0.500 0.500 0.083

=====

4.
DFT (PBE) results for crystalline B7C3 at its relaxed geometry.

- offset from the most stable computed form (meV/atom) = 119
- ΔH_f (0 K) (eV per atom) = 0.411

Unit cell a=11.935 b=11.935 c=11.935 alpha=168.91 beta=167.82 gamma=16.50
Fractional positions:
B: 0.791 0.791 0.000
B: 0.463 0.963 0.500
B: 0.404 0.404 0.000
B: 0.851 0.351 0.500
B: 0.589 0.589 0.000
B: 0.201 0.201 0.000
B: 0.647 0.147 0.500
C: 0.251 0.751 0.500
C: 0.008 0.008 0.000
C: 0.044 0.544 0.500

=====

5.
DFT (PBE) results for crystalline CaO at its relaxed geometry.

- raw formation energy (eV/atom) = -2.802

Unit cell a=6.267 b=6.267 c=3.822 alpha=90.00 beta=90.00 gamma=90.00
Fractional positions:
O: 0.320 0.680 0.000
O: 0.680 0.320 0.000
O: 0.180 0.180 0.500
O: 0.820 0.820 0.500
Ca: 0.684 0.684 0.000
Ca: 0.316 0.316 0.000
Ca: 0.184 0.816 0.500
Ca: 0.816 0.184 0.500

=====

6.
DFT (PBE) results for crystalline Li8Ca3Pd at its relaxed geometry.

- ΔH_f (0 K) (eV per atom) = -0.031

Unit cell a=5.727 b=5.727 c=10.278 alpha=73.82 beta=73.82 gamma=60.00
Fractional positions:
Li: 0.569 0.063 0.798
Li: 0.060 0.549 0.330
Li: 0.060 0.060 0.330
Li: 0.569 0.569 0.798
Li: 0.549 0.060 0.330
Li: 0.810 0.810 0.570
Li: 0.313 0.313 0.060
Li: 0.063 0.569 0.798
Pd: 0.122 0.122 0.633
Ca: 0.623 0.623 0.130
Ca: 0.018 0.018 0.946
Ca: 0.492 0.492 0.525

=====

7.
DFT (PBE) results for crystalline CaSc2Pb at its relaxed geometry.

- ΔH_f (0 K) (eV per atom) = -0.048

Unit cell a=3.439 b=3.439 c=9.572 alpha=90.00 beta=90.00 gamma=90.10
Fractional positions:
Ca: 0.500 0.500 0.250
Sc: 0.000 0.000 0.961
Sc: 0.000 0.000 0.539
Pb: 0.500 0.500 0.750

=====

8.
DFT (PBE) results for crystalline AcLaPmCo at its relaxed geometry.

- ΔH_f (0 K) (eV per atom) = -0.017

Unit cell a=4.048 b=3.999 c=10.309 alpha=101.23 beta=126.10 gamma=89.92
Fractional positions:
Co: 0.254 0.133 0.828
Pm: 0.771 0.638 0.840
Ac: 0.792 0.312 0.187
La: 0.795 0.980 0.522

=====

| no. | density of states at the Fermi level (states/eV/cell) |
| --- | --- |
| 1 | 1.297 |
| 2 | 5.447 |
| 3 | 3.803 |
| 4 | 1.773 |
| 5 | 0.000 |
| 6 | 7.265 |
| 7 | 4.959 |
| 8 | 5.246 |